# 1
LaNdDyZn | GGA-PBE | relaxed

abc: 3.653 3.653 8.840
angles: 90.00 90.00 90.00
Space group P4mm (No. 99)
Inequivalent atoms, fractional coordinates:
La 0.000 0.000 0.000 [1 per cell]
Nd 0.500 0.500 0.695 [1 per cell]
Dy 0.500 0.500 0.292 [1 per cell]
Zn 0.000 0.000 0.480 [1 per cell]


# 2
LaNdDyZn | GGA-PBE | relaxed

abc: 7.771 7.771 7.771
angles: 90.00 90.00 90.00
Space group F-43m (No. 216)
Inequivalent atoms, fractional coordinates:
La 0.000 0.000 0.000 [4 per cell]
Nd 0.000 0.000 0.500 [4 per cell]
Dy 0.250 0.250 0.250 [4 per cell]
Zn 0.250 0.250 0.750 [4 per cell]


# 3
LaDy3Ni8 | GGA-PBE | relaxed

abc: 5.0961 5.0961 25.0435
angles: 90.00 90.00 120.00
Space group R3m (No. 160, hexagonal axes)
Inequivalent atoms, fractional coordinates:
La 0.0000 0.0000 0.0000 [3 per cell]
Dy 0.0000 0.0000 0.1255 [3 per cell]
Dy 0.0000 0.0000 0.4998 [3 per cell]
Dy 0.0000 0.0000 0.6241 [3 per cell]
Ni 0.0000 0.0000 0.3120 [3 per cell]
Ni 0.0000 0.0000 0.8125 [3 per cell]
Ni 0.0007 0.5004 0.0640 [9 per cell]
Ni 0.1684 0.3369 0.8943 [9 per cell]


# 4
LaDy12Ni6 | GGA-PBE | relaxed

abc: 9.862 9.862 9.862
angles: 90.00 90.00 90.00
Space group Im-3 (No. 204)
Inequivalent atoms, fractional coordinates:
La 0.000 0.000 0.000 [2 per cell]
Dy 0.000 0.312 0.185 [24 per cell]
Ni 0.000 0.124 0.500 [12 per cell]


# 5
La2DyNi | GGA-PBE | relaxed

abc: 3.631 3.631 8.665
angles: 90.00 90.00 90.00
Space group P4/mmm (No. 123)
Inequivalent atoms, fractional coordinates:
La 0.000 0.000 0.194 [2 per cell]
Dy 0.500 0.500 0.500 [1 per cell]
Ni 0.500 0.500 0.000 [1 per cell]


# 6
LaDy2Ni | GGA-PBE | relaxed

abc: 6.956 9.705 6.479
angles: 90.00 90.00 90.00
Space group Pnma (No. 62)
Inequivalent atoms, fractional coordinates:
La 0.035 0.250 0.141 [4 per cell]
Dy 0.173 0.068 0.674 [8 per cell]
Ni 0.116 0.750 0.431 [4 per cell]


ΔE_f list, top to bottom, in eV per atom: -0.149, 0.021, -0.413, -0.240, -0.065, -0.222
V list, top to bottom, in A^3/atom: 29.5, 29.3, 15.6, 25.2, 28.6, 27.3
DOS at the Fermi energy list, top to bottom, in states/eV per cell: 5.83, 22.71, 20.61, 44.90, 7.43, 17.30